Compound: PmScCr2O6
Source: the Alexandria database
Functional: GGA+U
Structure: optimized geometry

abc: 5.538 5.538 5.538
angles: 58.48 58.48 58.48
Fractional positions:
Pm 0.000 0.000 0.000
Sc 0.522 0.522 0.522
Cr 0.230 0.230 0.230
Cr 0.735 0.735 0.735
O 0.105 0.465 0.855
O 0.393 0.947 0.568
O 0.465 0.855 0.105
O 0.568 0.393 0.947
O 0.855 0.105 0.465
O 0.947 0.568 0.393

Results
The calculation puts the volume at 116 Å³/cell. Its total magnetic moment is 0.600 μB/atom. Its uncorrected energy is -8.280 eV per atom.